Here is a geometry-optimized Np3TeCl7 structure from the Alexandria database. Energies are from PBE.

Volume in A^3/atom: 39.296
Formation energy (no corrections) in eV/atom: -1.5188

Cell: 8.4444 8.4444 6.9997 Å, 90.00 90.00 120.00°
With the nearest neighbours (Å) after each atom.
Space group P3m1 (No. 156)
One atom of each set of equivalent atoms:
Np: 0.1677 0.3354 0.0000 [3 per cell]  5 Cl 2.73-2.88
Te: 0.3333 0.6667 0.2683 [1 per cell]  3 Np 3.07
Cl: 0.0000 0.0000 0.7849 [1 per cell]  3 Np 2.88
Cl: 0.0255 0.5127 0.7991 [3 per cell]  2 Np 2.73
Cl: 0.3047 0.1523 0.1986 [3 per cell]  2 Np 2.73

Here is a geometry-optimized BaTaAs2 structure from the Alexandria database. Energies are from PBE.

Volume in A^3/atom: 30.249
Energy relative to the elements in eV/f.u.: -1.58

Cell: 4.6929 3.9941 12.9104 Å, 90.00 90.00 90.00°
With the nearest neighbours (Å) after each atom.
Space group Amm2 (No. 38)
One atom of each set of equivalent atoms:
Ba: 0.0000 0.0000 0.0000 [2 per cell]  6 As 3.29-3.41
Ta: 0.5000 0.0000 0.7654 [2 per cell]  4 As 2.48-2.55
As: 0.0000 0.0000 0.7026 [2 per cell]  2 Ta 2.48
As: 0.5000 0.0000 0.3877 [2 per cell]  2 Ta 2.55

Here is a geometry-optimized LiCu4Sn structure from the Alexandria database. Energies are from PBE.

Volume in A^3/atom: 14.397
Energy relative to the elements in eV/f.u.: -0.68

Cell: 7.0171 7.0171 7.0171 Å, 90.00 90.00 90.00°
With the nearest neighbours (Å) after each atom.
Space group F-43m (No. 216)
One atom of each set of equivalent atoms:
Li: 0.0000 0.0000 0.0000 [4 per cell]  12 Cu 2.91, 4 Sn 3.04
Cu: 0.1256 0.1256 0.3744 [16 per cell]  6 Cu 2.47-2.49
Sn: 0.2500 0.2500 0.7500 [4 per cell]  12 Cu 2.91, 4 Li 3.04

Here is a geometry-optimized K4BaHg5 structure from the Alexandria database. Energies are from PBE.

Volume in A^3/atom: 37.601
Energy relative to the elements in eV/f.u.: -2.65

Cell: 4.1942 4.1942 21.3749 Å, 90.00 90.00 90.00°
With the nearest neighbours (Å) after each atom.
Space group P4/mmm (No. 123)
One atom of each set of equivalent atoms:
K: 0.0000 0.0000 0.1000 [2 per cell]  8 Hg 3.65-3.66
K: 0.0000 0.0000 0.3027 [2 per cell]  8 Hg 3.70-3.72
Ba: 0.0000 0.0000 0.5000 [1 per cell]  8 Hg 3.56
Hg: 0.5000 0.5000 0.0000 [1 per cell]  8 K 3.66
Hg: 0.5000 0.5000 0.1994 [2 per cell]  8 K 3.65-3.70
Hg: 0.5000 0.5000 0.4075 [2 per cell]  4 Ba 3.56, 4 K 3.72, 1 Hg 3.96